Entry 1:
This record from Alexandria describes La6HgN after structural relaxation. The functional is PBE-GGA.

The structure in POSCAR format:
```
La6HgN
1.0
6.782 0.000 0.000
3.383 5.898 0.000
3.357 1.967 6.638
La Hg N
6 1 1
Cartesian
2.545 2.869 1.864
7.125 7.077 4.769
6.260 5.184 1.873
7.262 2.680 4.765
6.397 0.787 1.869
10.977 4.996 4.774
5.083 2.949 0.000
1.679 0.984 3.319
```

- Symmetry: P-1 (2)
- Formation energy from raw total energies: -0.37 eV/atom


Entry 2:
This record from Alexandria describes Mg12Cu6Sn after structural relaxation. The functional is PBE-GGA.

The structure in POSCAR format:
```
Mg12Cu6Sn
1.0
-4.488 4.488 4.488
4.488 -4.488 4.488
4.488 4.488 -4.488
Mg Cu Sn
12 6 1
Cartesian
4.488 2.820 -1.912
2.576 0.000 1.668
6.400 0.000 1.668
1.668 2.576 0.000
2.820 -1.912 4.488
0.000 1.668 2.576
4.488 2.820 1.912
1.668 6.400 0.000
2.820 1.912 4.488
-1.912 4.488 2.820
1.912 4.488 2.820
0.000 1.668 6.400
4.488 1.180 0.000
4.488 0.000 3.308
3.308 4.488 0.000
1.180 0.000 4.488
0.000 4.488 1.180
0.000 3.308 4.488
0.000 0.000 0.000
```

- Symmetry: Im-3 (204)
- DFT formation energy: -21 meV/atom


| no. | density of states at the Fermi level (states/eV per cell) |
| --- | --- |
| 1 | 9.3 |
| 2 | 10.5 |